VASP calculation (GGA-PBE) on crystalline SrCdP2S at its relaxed geometry.

Energy: -3.394 eV per atom
Energy above the most stable polymorph in this dataset: 0 meV per atom

Unit cell a=4.9592 b=4.9592 c=5.2381 alpha=90.00 beta=90.00 gamma=90.00
With the nearest neighbours (Å) after each atom.
Sites, in units of the cell vectors:
Sr 0.0000 0.0000 0.0000  4 S 3.51, 8 P 3.61
Cd 0.5000 0.5000 0.5000  4 P 2.48, 2 S 2.62
P 0.0000 0.5000 0.5000  2 Cd 2.48
P 0.5000 0.0000 0.5000  2 Cd 2.48
S 0.5000 0.5000 0.0000  2 Cd 2.62

VASP calculation (GGA-PBE) on crystalline SrCdP2S at its relaxed geometry.

Energy: -2.608 eV per atom
Energy above the most stable polymorph in this dataset: 786 meV per atom

Unit cell a=5.6041 b=5.6041 c=5.4192 alpha=90.00 beta=90.00 gamma=90.00
With the nearest neighbours (Å) after each atom.
Sites, in units of the cell vectors:
Sr 0.0000 0.0000 0.0000  2 S 2.71, 4 P 2.80
Cd 0.5000 0.5000 0.5000  8 P 3.90, 4 S 3.96
P 0.0000 0.5000 0.0000  2 Sr 2.80
P 0.5000 0.0000 0.0000  2 Sr 2.80
S 0.0000 0.0000 0.5000  2 Sr 2.71